The following is a DFT calculation (GGA-PBE) of LiHo2Tm3S6 after structural relaxation.

Output
As for the crystal system: monoclinic. The value obtained for the density of states at the Fermi level is 3.3 states/eV/f.u. As for the total energy: -72.5 eV per cell. The formation energy without anion corrections is -44.70 kcal/mol of atoms. The symmetry is C2/m. As for the spin magnetization: 0.000 μB per atom.

a = 3.843 Å, b = 7.694 Å, c = 8.608 Å
α = 102.89°, β = 102.90°, γ = 90.00°
Positions (direct):
Li1 0.500 0.000 0.000
Ho1 0.832 0.661 0.663
Ho2 0.168 0.339 0.337
Tm1 0.500 0.500 0.000
Tm2 0.835 0.171 0.669
Tm3 0.165 0.829 0.331
S1 0.335 0.921 0.670
S2 0.664 0.586 0.328
S3 0.665 0.079 0.330
S4 0.000 0.246 0.000
S5 0.000 0.754 0.000
S6 0.336 0.414 0.672